First-principles (PBE) data for ZrVSN2 after structural relaxation, as listed in Alexandria via LeMat-Bulk.

a b c (Å): 4.0772 4.0772 5.1665
angles (deg): 90.00 90.00 90.00
Fractional positions:
Zr 0.0000 0.0000 0.0000
V 0.5000 0.5000 0.5000
S 0.0000 0.0000 0.5000
N 0.0000 0.5000 0.0000
N 0.5000 0.0000 0.0000

**Calculated volume**: 17.2 A^3/atom
**Formation energy without anion corrections**: 565 meV/atom
**Spin magnetization**: 0.3 Bohr magnetons per cell
**ΔE to the lowest computed polymorph**: 20.708 kcal/mol of atoms